VASP calculation (PBE+U) on a geometry-optimized HfMnF2 structure.

Properties
Uncorrected energy (Ry per atom): -0.4769
Calculated volume (Å³/cell): 135.1
Magnetic moment (Bohr magnetons per cell): 6.149
Energy relative to the lowest polymorph listed for this composition (meV per atom): 420

abc: 5.200 5.200 6.203
angles: 65.22 65.22 90.00
Positions (direct):
1 Mn 0.500 0.500 0.000
2 Mn 0.250 0.750 0.500
3 Hf 0.000 0.000 0.000
4 Hf 0.750 0.250 0.500
5 F 0.625 0.125 0.250
6 F 0.125 0.625 0.250
7 F 0.375 0.375 0.750
8 F 0.875 0.875 0.750